Model i:
First-principles (PBE) data for TmMgCo2 after structural relaxation, as listed in Alexandria via LeMat-Bulk.

POSCAR file:
```
TmMgCo2
1.0
4.408 0.000 0.000
0.000 4.408 0.000
0.000 0.000 3.230
Tm Mg Co
1 1 2
direct
0.000 0.000 0.000 Tm
0.500 0.500 0.000 Mg
0.000 0.500 0.500 Co
0.500 0.000 0.500 Co
```

space group	No. 123
N(E_F)	3.329	states/eV per cell
total magnetization	0.000	μB per formula unit



Model ii:
First-principles (PBE) data for TmMgCo2 after structural relaxation, as listed in Alexandria via LeMat-Bulk.

POSCAR file:
```
TmMgCo2
1.0
0.000 3.154 3.154
3.154 0.000 3.154
3.154 3.154 0.000
Tm Mg Co
1 1 2
direct
0.000 0.000 0.000 Tm
0.500 0.500 0.500 Mg
0.250 0.250 0.250 Co
0.750 0.750 0.750 Co
```

space group	No. 225
N(E_F)	3.897	states/eV per cell
total magnetization	0.000	μB per formula unit



Model iii:
First-principles (PBE) data for TmMgCo2 after structural relaxation, as listed in Alexandria via LeMat-Bulk.

POSCAR file:
```
TmMgCo2
1.0
3.195 0.000 0.000
0.000 3.195 0.000
0.000 0.000 6.165
Tm Mg Co
1 1 2
direct
0.000 0.000 0.000 Tm
0.000 0.000 0.500 Mg
0.500 0.500 0.268 Co
0.500 0.500 0.732 Co
```

space group	No. 123
N(E_F)	5.376	states/eV per cell
total magnetization	0.000	μB per formula unit



Which one is most stable, and which one is least stable? model ii is the most stable of them, while model iii is the least stable.